Compound: NaPd3I
Source: Alexandria
Functional: PBE
Structure: relaxed

Cell lengths 4.7898, 4.7898, 4.7898 Å; angles 90.00, 90.00, 90.00 degrees
Closest atoms and distances in Å follow each position.
Fractional positions:
I1 0.5000 0.5000 0.5000  12 Pd 3.39
Na1 0.0000 0.0000 0.0000  6 Pd 2.39
Pd1 0.0000 0.5000 0.0000  2 Na 2.39
Pd2 0.0000 0.0000 0.5000  2 Na 2.39
Pd3 0.5000 0.0000 0.0000  2 Na 2.39

Results
- Symmetry: Pm-3m
- Formation energy without anion corrections: 0.8259 eV/atom
- Mass density: 7.090 g cm⁻³
- DFT total energy: -2.864 eV per atom